Below is a relaxed structure of Ba2ScCdCl, with properties calculated at the PBE level.

Properties
Formation energy (no corrections), eV per atom: -0.247

a = 5.977 Å, b = 5.693 Å, c = 5.977 Å
α = 90.00°, β = 90.00°, γ = 90.00°
Positions (direct):
Ba  0.000  0.000  0.500
Ba  0.500  0.000  0.000
Cd  0.000  0.500  0.000
Sc  0.500  0.500  0.500
Cl  0.000  0.000  0.000